(1)
A plane-wave DFT calculation with SCAN was carried out for a PBEsol-optimized structure of Y2ScCr.

Computed properties:
Electronic total energy = -21.939 eV/atom
Polymorph energy (0 for the lowest one) = 0 meV/atom

POSCAR file:
```
Y2ScCr
1.0
4.9802 0.0000 0.0000
0.0000 4.9802 0.0000
0.0000 0.0000 3.8797
Y Sc Cr
2 1 1
Cartesian
0.0000 2.4901 0.0000
2.4901 0.0000 0.0000
0.0000 0.0000 1.9398
2.4901 2.4901 1.9398
```

(2)
A plane-wave DFT calculation with SCAN was carried out for a PBEsol-optimized structure of ScZn2Cr.

Computed properties:
Electronic total energy = -14.768 eV/atom
Polymorph energy (0 for the lowest one) = 233 meV/atom

POSCAR file:
```
ScZn2Cr
1.0
1.4800 0.8545 8.6255
-1.4800 0.8545 8.6255
0.0000 -1.7090 8.6255
Sc Zn Cr
1 2 1
Cartesian
0.0000 0.0000 0.0000
0.0000 0.0000 6.3021
0.0000 0.0000 19.5745
0.0000 0.0000 12.9383
```

(3)
A plane-wave DFT calculation with SCAN was carried out for a PBEsol-optimized structure of ScZn2Cr.

Computed properties:
Electronic total energy = -14.961 eV/atom
Polymorph energy (0 for the lowest one) = 40 meV/atom

POSCAR file:
```
ScZn2Cr
1.0
3.1637 0.0000 0.0000
0.0000 3.1637 0.0000
0.0000 0.0000 6.2357
Sc Zn Cr
1 2 1
Cartesian
0.0000 0.0000 0.0000
0.0000 0.0000 3.2353
1.5819 1.5819 1.8300
1.5819 1.5819 4.6128
```

| no. | DOS(E_F) (states/eV per atom) | ΔE_f (eV/atom) |
| --- | --- | --- |
| 1 | 0.95 | 0.137 |
| 2 | 0.91 | 0.145 |
| 3 | 0.83 | -0.048 |